[1]
## KHg3 (GGA-PBE)

Data for KHg3 after structural relaxation. Values from VASP.

Quantum ESPRESSO input file:
```
&SYSTEM
  ibrav = 0, nat = 8, ntyp = 2
/
ATOMIC_SPECIES
Hg 200.59 Hg.upf
K 39.10 K.upf
ATOMIC_POSITIONS crystal
Hg 0.7500 0.5000 0.0000
Hg 0.2500 0.5000 0.0000
Hg 0.0000 0.7500 0.5000
Hg 0.0000 0.2500 0.5000
Hg 0.5000 0.0000 0.2500
Hg 0.5000 0.0000 0.7500
K 0.0000 0.0000 0.0000
K 0.5000 0.5000 0.5000
CELL_PARAMETERS angstrom
-5.8329 0.1330 2.3680
-0.7888 -6.0377 -1.6036
2.2368 -1.7822 5.6097
```

Space group: Pm-3n, No. 223

=====

[2]
## Zr5Pt2Rh (GGA-PBE)

Data for Zr5Pt2Rh after structural relaxation. Values from VASP.

Quantum ESPRESSO input file:
```
&SYSTEM
  ibrav = 0, nat = 16, ntyp = 3
/
ATOMIC_SPECIES
Zr 91.22 Zr.upf
Pt 195.08 Pt.upf
Rh 102.91 Rh.upf
ATOMIC_POSITIONS crystal
Zr 0.0000 0.0000 0.5000
Zr 0.0000 0.5000 0.0000
Zr 0.0000 0.8521 0.2177
Zr 0.0000 0.1479 0.7823
Zr 0.0000 0.6479 0.7177
Zr 0.0000 0.3521 0.2823
Zr 0.5000 0.6870 0.4148
Zr 0.5000 0.3130 0.5852
Zr 0.5000 0.8130 0.9148
Zr 0.5000 0.1870 0.0852
Pt 0.5000 0.5795 0.1661
Pt 0.5000 0.4205 0.8339
Pt 0.5000 0.9205 0.6661
Pt 0.5000 0.0795 0.3339
Rh 0.0000 0.5000 0.5000
Rh 0.0000 0.0000 0.0000
CELL_PARAMETERS angstrom
-2.0497 1.2440 3.5875
-4.9139 -4.8608 -1.1221
5.7598 -7.1551 5.7720
```

Space group: Pbam, No. 55

=====

[3]
## Y2ErAl2Zn2 (GGA-PBE)

Data for Y2ErAl2Zn2 after structural relaxation. Values from VASP.

Quantum ESPRESSO input file:
```
&SYSTEM
  ibrav = 0, nat = 7, ntyp = 4
/
ATOMIC_SPECIES
Y 88.91 Y.upf
Er 167.26 Er.upf
Al 26.98 Al.upf
Zn 65.41 Zn.upf
ATOMIC_POSITIONS crystal
Y 0.1263 0.1263 0.6211
Y 0.8737 0.8737 0.3789
Er 0.0000 0.0000 0.0000
Al 0.7340 0.7340 0.7980
Al 0.2660 0.2660 0.2020
Zn 0.6054 0.6054 0.1838
Zn 0.3946 0.3946 0.8162
CELL_PARAMETERS angstrom
4.4840 0.0000 0.0000
2.2420 3.8833 0.0000
2.2420 1.2944 9.1230
```

Space group: R-3m, No. 166

=====

no.,formation energy (meV/atom)
1,-173
2,-676
3,-323